# OsRu2Rh, optimized geometry, DFT PBE-GGA
# Total moment: 0.00 μB/f.u.
# DOS at the Fermi energy: 0.9935 states/eV/atom
# Energy relative to the elements: 0.28 eV per formula unit
# Energy: -9.213 eV/atom
# Density: 14.6 g cm⁻³
data_OsRu2Rh
_space_group_name_H-M_alt 'P m m m'
_space_group_IT_number 47
_cell_length_a 2.706
_cell_length_b 3.841
_cell_length_c 5.421
_cell_angle_alpha 90.00
_cell_angle_beta 90.00
_cell_angle_gamma 90.00
loop_
_space_group_symop_operation_xyz
'x,y,z'
'-x,-y,-z'
'-x,-y,z'
'x,y,-z'
'x,-y,-z'
'-x,y,z'
'-x,y,-z'
'x,-y,z'
loop_
_atom_site_label
_atom_site_fract_x
_atom_site_fract_y
_atom_site_fract_z
Os1 0.000 0.000 0.000
Ru1 0.500 0.500 0.246
Rh1 0.000 0.000 0.500


# OsRuRh4, optimized geometry, DFT PBE-GGA
# Total moment: 0.00 μB/f.u.
# DOS at the Fermi energy: 1.1325 states/eV/atom
# Energy relative to the elements: 0.16 eV per formula unit
# Energy: -8.293 eV/atom
# Density: 13.7 g cm⁻³
data_OsRuRh4
_space_group_name_H-M_alt 'C m c 21'
_space_group_IT_number 36
_cell_length_a 2.721
_cell_length_b 14.150
_cell_length_c 8.825
_cell_angle_alpha 90.00
_cell_angle_beta 90.00
_cell_angle_gamma 90.00
loop_
_space_group_symop_operation_xyz
'x,y,z'
'-x,-y,z+1/2'
'-x,y,z'
'x,-y,z+1/2'
'x+1/2,y+1/2,z'
'-x+1/2,-y+1/2,z+1/2'
'-x+1/2,y+1/2,z'
'x+1/2,-y+1/2,z+1/2'
loop_
_atom_site_label
_atom_site_fract_x
_atom_site_fract_y
_atom_site_fract_z
Os1 0.000 0.223 0.000
Ru1 0.000 0.334 0.255
Rh1 0.000 0.002 0.753
Rh2 0.000 0.113 0.503
Rh3 0.000 0.328 0.749
Rh4 0.000 0.444 0.503